Entry from Alexandria via LeMat-Bulk: a relaxed GaCoW3 crystal (PBE).

Calculated values
Polymorph energy (0 for the lowest one) (eV/atom): 0.802
Crystal system: cubic
Total magnetization (μB/f.u.): 0.00
Formation energy from the elements (eV per atom): 2.151
Symmetry: Pm-3m (221)

Cell lengths 4.516, 4.516, 4.516 Å; angles 90.00, 90.00, 90.00 degrees
Fractional coordinates of all 5 atoms:
1 Co 0.500 0.500 0.500
2 Ga 0.000 0.000 0.000
3 W 0.000 0.500 0.000
4 W 0.000 0.000 0.500
5 W 0.500 0.000 0.000